Arrangement a

DFT (PBE) results for a relaxed structure of Na2ZnSi2O6.

Results
SG: Fdd2, No. 43

CIF file:
```
data_Na2ZnSi2O6
_chemical_formula_sum 'Na4 Zn2 Si4 O12'
_space_group_name_H-M_alt 'P 1'
_space_group_IT_number 1
_space_group_name_Hall 'P 1'
_cell_length_a 5.1151
_cell_length_b 5.1151
_cell_length_c 11.2388
_cell_angle_alpha 102.67
_cell_angle_beta 102.67
_cell_angle_gamma 92.07
loop_
_atom_site_label
_atom_site_type_symbol
_atom_site_fract_x
_atom_site_fract_y
_atom_site_fract_z
Na1 Na 0.1244 0.5718 0.1554
Na2 Na 0.2190 0.1663 0.3446
Na3 Na 0.8337 0.7810 0.6554
Na4 Na 0.4283 0.8756 0.8446
O1 O 0.3860 0.1073 0.0328
O2 O 0.9095 0.1627 0.1588
O3 O 0.5218 0.9015 0.2337
O4 O 0.5380 0.4177 0.2663
O5 O 0.0007 0.7539 0.3412
O6 O 0.6032 0.8244 0.4672
O7 O 0.1756 0.3968 0.5328
O8 O 0.2461 0.9993 0.6588
O9 O 0.5823 0.4620 0.7337
O10 O 0.0985 0.4782 0.7663
O11 O 0.8373 0.0905 0.8412
O12 O 0.8927 0.6140 0.9672
Si1 Si 0.5976 0.1449 0.1658
Si2 Si 0.6819 0.7292 0.3342
Si3 Si 0.2708 0.3181 0.6658
Si4 Si 0.8551 0.4024 0.8342
Zn1 Zn 0.0029 0.9971 0.0000
Zn2 Zn 0.2529 0.7471 0.5000
```

=====

Arrangement b

DFT (PBE) results for a relaxed structure of Na2ZnSi2O6.

Results
SG: C2/c, No. 15

CIF file:
```
data_Na2ZnSi2O6
_chemical_formula_sum 'Na4 Zn2 Si4 O12'
_space_group_name_H-M_alt 'P 1'
_space_group_IT_number 1
_space_group_name_Hall 'P 1'
_cell_length_a 5.6309
_cell_length_b 5.6309
_cell_length_c 9.8694
_cell_angle_alpha 91.20
_cell_angle_beta 91.20
_cell_angle_gamma 114.04
loop_
_atom_site_label
_atom_site_type_symbol
_atom_site_fract_x
_atom_site_fract_y
_atom_site_fract_z
Na1 Na 0.3844 0.7465 0.1055
Na2 Na 0.2535 0.6156 0.3945
Na3 Na 0.7465 0.3844 0.6055
Na4 Na 0.6156 0.2535 0.8945
O1 O 0.0000 0.0000 0.0000
O2 O 0.4704 0.2369 0.1052
O3 O 0.0876 0.3748 0.1912
O4 O 0.0907 0.9093 0.2500
O5 O 0.6252 0.9124 0.3088
O6 O 0.7631 0.5296 0.3948
O7 O 0.0000 0.0000 0.5000
O8 O 0.2369 0.4704 0.6052
O9 O 0.3748 0.0876 0.6912
O10 O 0.9093 0.0907 0.7500
O11 O 0.9124 0.6252 0.8088
O12 O 0.5296 0.7631 0.8948
Si1 Si 0.1653 0.1438 0.1379
Si2 Si 0.8562 0.8347 0.3621
Si3 Si 0.1438 0.1653 0.6379
Si4 Si 0.8347 0.8562 0.8621
Zn1 Zn 0.7240 0.2760 0.2500
Zn2 Zn 0.2760 0.7240 0.7500
```

=====

Least stable structure: arrangement b

=====

Arrangement a

DFT (PBE) results for a relaxed structure of Na2Zn2O5.

Results
SG: P4/mmm, No. 123

CIF file:
```
data_Na2Zn2O5
_chemical_formula_sum 'Na2 Zn2 O5'
_space_group_name_H-M_alt 'P 1'
_space_group_IT_number 1
_space_group_name_Hall 'P 1'
_cell_length_a 5.9789
_cell_length_b 4.0477
_cell_length_c 4.0477
_cell_angle_alpha 90.00
_cell_angle_beta 90.00
_cell_angle_gamma 90.00
loop_
_atom_site_label
_atom_site_type_symbol
_atom_site_fract_x
_atom_site_fract_y
_atom_site_fract_z
Na1 Na 0.1690 0.5000 0.5000
Na2 Na 0.8310 0.5000 0.5000
O1 O 0.2228 0.5000 0.0000
O2 O 0.7772 0.5000 0.0000
O3 O 0.2228 0.0000 0.5000
O4 O 0.7772 0.0000 0.5000
O5 O 0.5000 0.5000 0.5000
Zn1 Zn 0.0000 0.0000 0.0000
Zn2 Zn 0.5000 0.0000 0.0000
```

=====

Arrangement b

DFT (PBE) results for a relaxed structure of Na2Zn2O5.

Results
SG: P4/mmm, No. 123

CIF file:
```
data_Na2Zn2O5
_chemical_formula_sum 'Na2 Zn2 O5'
_space_group_name_H-M_alt 'P 1'
_space_group_IT_number 1
_space_group_name_Hall 'P 1'
_cell_length_a 6.6183
_cell_length_b 4.0645
_cell_length_c 4.0645
_cell_angle_alpha 90.00
_cell_angle_beta 90.00
_cell_angle_gamma 90.00
loop_
_atom_site_label
_atom_site_type_symbol
_atom_site_fract_x
_atom_site_fract_y
_atom_site_fract_z
Na1 Na 0.0000 0.0000 0.0000
Na2 Na 0.5000 0.0000 0.0000
O1 O 0.1178 0.5000 0.0000
O2 O 0.8822 0.5000 0.0000
O3 O 0.1178 0.0000 0.5000
O4 O 0.8822 0.0000 0.5000
O5 O 0.5000 0.5000 0.5000
Zn1 Zn 0.2177 0.5000 0.5000
Zn2 Zn 0.7823 0.5000 0.5000
```

=====

Arrangement c

DFT (PBE) results for a relaxed structure of Na2Zn2O5.

Results
SG: P4/mmm, No. 123

CIF file:
```
data_Na2Zn2O5
_chemical_formula_sum 'Na2 Zn2 O5'
_space_group_name_H-M_alt 'P 1'
_space_group_IT_number 1
_space_group_name_Hall 'P 1'
_cell_length_a 8.2663
_cell_length_b 3.6206
_cell_length_c 3.6206
_cell_angle_alpha 90.00
_cell_angle_beta 90.00
_cell_angle_gamma 90.00
loop_
_atom_site_label
_atom_site_type_symbol
_atom_site_fract_x
_atom_site_fract_y
_atom_site_fract_z
Na1 Na 0.0000 0.0000 0.0000
Na2 Na 0.5000 0.0000 0.0000
O1 O 0.1907 0.5000 0.0000
O2 O 0.8093 0.5000 0.0000
O3 O 0.1907 0.0000 0.5000
O4 O 0.8093 0.0000 0.5000
O5 O 0.5000 0.5000 0.5000
Zn1 Zn 0.2684 0.5000 0.5000
Zn2 Zn 0.7316 0.5000 0.5000
```

=====

Least stable structure: arrangement a

=====

Arrangement a

DFT (PBE) results for a relaxed structure of NaOsPd.

Results
SG: F-43m, No. 216
Spin magnetization, μB/f.u.: 2.8

CIF file:
```
data_NaOsPd
_chemical_formula_sum 'Na1 Os1 Pd1'
_space_group_name_H-M_alt 'P 1'
_space_group_IT_number 1
_space_group_name_Hall 'P 1'
_cell_length_a 4.3232
_cell_length_b 4.3232
_cell_length_c 4.3232
_cell_angle_alpha 60.00
_cell_angle_beta 60.00
_cell_angle_gamma 60.00
loop_
_atom_site_label
_atom_site_type_symbol
_atom_site_fract_x
_atom_site_fract_y
_atom_site_fract_z
Na1 Na 0.0000 0.0000 0.0000
Os1 Os 0.2500 0.2500 0.2500
Pd1 Pd 0.7500 0.7500 0.7500
```

=====

Arrangement b

DFT (PBE) results for a relaxed structure of NaOsPd.

Results
SG: F-43m, No. 216
Spin magnetization, μB/f.u.: 1.5

CIF file:
```
data_NaOsPd
_chemical_formula_sum 'Na1 Os1 Pd1'
_space_group_name_H-M_alt 'P 1'
_space_group_IT_number 1
_space_group_name_Hall 'P 1'
_cell_length_a 4.3156
_cell_length_b 4.3156
_cell_length_c 4.3156
_cell_angle_alpha 60.00
_cell_angle_beta 60.00
_cell_angle_gamma 60.00
loop_
_atom_site_label
_atom_site_type_symbol
_atom_site_fract_x
_atom_site_fract_y
_atom_site_fract_z
Na1 Na 0.2500 0.2500 0.2500
Os1 Os 0.7500 0.7500 0.7500
Pd1 Pd 0.0000 0.0000 0.0000
```

=====

Least stable structure: arrangement a